Entry 1:
The following is a PBE calculation of crystalline Er4TePbC2 at its relaxed geometry, from OQMD.

Symmetry: P-6m2 (187)
Density in g/cm3: 9.7
Raw total energy in eV per atom: -6.13

abc: 3.6891 3.6891 14.9279
angles: 90.00 90.00 120.00
With the nearest neighbours (Å) after each atom.
Positions (direct):
C  0.6667  0.3333  0.2616  6 Er 2.49-2.50
C  0.6667  0.3333  0.7384  6 Er 2.49-2.50
Er  0.3333  0.6667  0.1744  3 C 2.50
Er  0.0000  0.0000  0.3484  3 C 2.49
Er  0.0000  0.0000  0.6516  3 C 2.49
Er  0.3333  0.6667  0.8256  3 C 2.50
Pb  0.0000  0.0000  0.0000  6 Er 3.36, 6 Pb 3.69
Te  0.3333  0.6667  0.5000  6 Er 3.11



Entry 2:
The following is a PBE calculation of crystalline ErTmPbC at its relaxed geometry, from OQMD.

Symmetry: P-6m2 (187)
Density in g/cm3: 10.4
Raw total energy in eV per atom: -6.02

abc: 3.5913 3.5913 15.8792
angles: 90.00 90.00 120.00
With the nearest neighbours (Å) after each atom.
Positions (direct):
C  0.0000  0.0000  0.2495  3 Tm 2.44, 3 Er 2.45
C  0.0000  0.0000  0.7505  3 Tm 2.44, 3 Er 2.45
Er  0.3333  0.6667  0.3322  3 C 2.45
Er  0.3333  0.6667  0.6678  3 C 2.45
Pb  0.3333  0.6667  0.0000  6 Tm 3.38, 6 Pb 3.59
Pb  0.6667  0.3333  0.5000  6 Er 3.38, 6 Pb 3.59
Tm  0.6667  0.3333  0.1680  3 C 2.44
Tm  0.6667  0.3333  0.8320  3 C 2.44



Entry 3:
The following is a PBE calculation of crystalline ErTmPbC at its relaxed geometry, from OQMD.

Symmetry: P-3m1 (164)
Density in g/cm3: 10.4
Raw total energy in eV per atom: -6.02

abc: 3.5909 3.5909 15.8796
angles: 90.00 90.00 120.00
With the nearest neighbours (Å) after each atom.
Positions (direct):
C  0.0000  0.0000  0.0000  6 Er 2.45
C  0.0000  0.0000  0.5000  6 Tm 2.45
Er  0.3333  0.6667  0.0825  3 C 2.45
Er  0.6667  0.3333  0.9175  3 C 2.45
Pb  0.6667  0.3333  0.2503  3 Er 3.38, 3 Tm 3.38, 6 Pb 3.59
Pb  0.3333  0.6667  0.7497  3 Er 3.38, 3 Tm 3.38, 6 Pb 3.59
Tm  0.3333  0.6667  0.4182  3 C 2.45
Tm  0.6667  0.3333  0.5818  3 C 2.45



Entry 4:
The following is a PBE calculation of crystalline ErTmPbC at its relaxed geometry, from OQMD.

Symmetry: P6_3mc (186)
Density in g/cm3: 10.4
Raw total energy in eV per atom: -6.02

abc: 3.5924 3.5924 15.8804
angles: 90.00 90.00 120.00
With the nearest neighbours (Å) after each atom.
Positions (direct):
C  0.0000  0.0000  0.4997  3 Tm 2.45, 3 Er 2.45
C  0.0000  0.0000  0.9997  3 Tm 2.45, 3 Er 2.45
Er  0.3333  0.6667  0.0821  3 C 2.45
Er  0.6667  0.3333  0.5821  3 C 2.45
Pb  0.6667  0.3333  0.2502  3 Tm 3.38, 3 Er 3.38, 6 Pb 3.59
Pb  0.3333  0.6667  0.7502  3 Tm 3.38, 3 Er 3.38, 6 Pb 3.59
Tm  0.3333  0.6667  0.4179  3 C 2.45
Tm  0.6667  0.3333  0.9179  3 C 2.45



Entry 5:
The following is a PBE calculation of crystalline Y3ErPb2C2 at its relaxed geometry, from OQMD.

Symmetry: P3m1 (156)
Density in g/cm3: 7.9
Raw total energy in eV per atom: -6.74

abc: 3.6383 3.6383 16.0524
angles: 90.00 90.00 120.00
With the nearest neighbours (Å) after each atom.
Positions (direct):
C  0.0000  0.0000  0.0015  3 Er 2.47, 3 Y 2.50
C  0.0000  0.0000  0.5000  6 Y 2.49
Er  0.3333  0.6667  0.0822  3 C 2.47
Pb  0.6667  0.3333  0.2489  3 Er 3.40, 3 Y 3.42, 6 Pb 3.64
Pb  0.3333  0.6667  0.7503  6 Y 3.40-3.41, 6 Pb 3.64
Y  0.3333  0.6667  0.4168  3 C 2.49
Y  0.6667  0.3333  0.5831  3 C 2.49
Y  0.6667  0.3333  0.9172  3 C 2.50



Entry 6:
The following is a PBE calculation of crystalline PrErW2C3 at its relaxed geometry, from OQMD.

Symmetry: Cm (8)
Density in g/cm3: 11.0
Raw total energy in eV per atom: -9.24

abc: 6.2631 6.2631 5.8134
angles: 112.98 112.98 31.15
With the nearest neighbours (Å) after each atom.
Positions (direct):
C  0.9975  0.9975  0.0139  2 W 2.05-2.08
C  0.7524  0.7524  0.2706  3 W 2.12-2.17
C  0.2539  0.2539  0.7306  3 W 2.09-2.16
Er  0.3879  0.3879  0.1740  5 C 2.43-2.56
Pr  0.6055  0.6055  0.8075  5 C 2.55-2.69
W  0.1586  0.1586  0.3255  4 C 2.05-2.16
W  0.8442  0.8442  0.6778  4 C 2.08-2.17



Entry 7:
The following is a PBE calculation of crystalline ErSnPtC at its relaxed geometry, from OQMD.

Symmetry: P6_3mc (186)
Density in g/cm3: 10.0
E above lowest polymorph in meV per atom: 0

abc: 4.0812 4.0812 11.3140
angles: 90.00 90.00 120.00
With the nearest neighbours (Å) after each atom.
Positions (direct):
C  0.3333  0.6667  0.2046  1 Pt 1.94
C  0.6667  0.3333  0.7046  1 Pt 1.94
Er  0.6667  0.3333  0.1846  3 C 2.37
Er  0.3333  0.6667  0.6846  3 C 2.37
Pt  0.3333  0.6667  0.3761  1 C 1.94
Pt  0.6667  0.3333  0.8761  1 C 1.94
Sn  0.0000  0.0000  0.4848  3 Pt 2.66
Sn  0.0000  0.0000  0.9848  3 Pt 2.66



Entry 8:
The following is a PBE calculation of crystalline ErSnPtC at its relaxed geometry, from OQMD.

Symmetry: P-3m1 (164)
Density in g/cm3: 11.6
E above lowest polymorph in meV per atom: 88

abc: 4.5454 4.5454 7.8726
angles: 90.00 90.00 120.00
With the nearest neighbours (Å) after each atom.
Positions (direct):
C  0.6667  0.3333  0.1248  1 Pt 2.04
C  0.3333  0.6667  0.8752  1 Pt 2.04
Er  0.3333  0.6667  0.1844  4 C 2.43-2.67
Er  0.6667  0.3333  0.8156  4 C 2.43-2.67
Pt  0.6667  0.3333  0.3839  1 C 2.04
Pt  0.3333  0.6667  0.6161  1 C 2.04
Sn  0.0000  0.0000  0.0000  6 C 2.80, 6 Er 3.00
Sn  0.0000  0.0000  0.5000  6 Pt 2.78



Entry 9:
The following is a PBE calculation of crystalline Rb3ErC at its relaxed geometry, from OQMD.

Symmetry: Pm-3m (221)
Density in g/cm3: 3.0
Raw total energy in eV per atom: -1.95

abc: 6.2399 6.2399 6.2399
angles: 90.00 90.00 90.00
With the nearest neighbours (Å) after each atom.
Positions (direct):
C  0.5000  0.5000  0.5000  6 Rb 3.12
Er  0.0000  0.0000  0.0000  12 Rb 4.41
Rb  0.5000  0.5000  0.0000  2 C 3.12
Rb  0.5000  0.0000  0.5000  2 C 3.12
Rb  0.0000  0.5000  0.5000  2 C 3.12



Entry 10:
The following is a PBE calculation of crystalline RbEr2CS4 at its relaxed geometry, from OQMD.

Symmetry: P-6m2 (187)
Density in g/cm3: 5.0
Raw total energy in eV per atom: -5.14

abc: 3.9432 3.9432 13.9184
angles: 90.00 90.00 120.00
With the nearest neighbours (Å) after each atom.
Positions (direct):
C  0.0000  0.0000  0.0000  6 S 2.78
Er  0.6667  0.3333  0.2206  6 S 2.71-2.73
Er  0.6667  0.3333  0.7794  6 S 2.71-2.73
Rb  0.3333  0.6667  0.5000  6 S 3.29
S  0.3333  0.6667  0.1149  3 Er 2.71, 3 C 2.78
S  0.0000  0.0000  0.3290  3 Er 2.73
S  0.0000  0.0000  0.6710  3 Er 2.73
S  0.3333  0.6667  0.8851  3 Er 2.71, 3 C 2.78



Entry 11:
The following is a PBE calculation of crystalline Er12Re5C15 at its relaxed geometry, from OQMD.

Symmetry: P-62m (189)
Density in g/cm3: 10.5
Raw total energy in eV per atom: -8.34

abc: 10.6565 10.6565 5.0223
angles: 90.00 90.00 120.00
With the nearest neighbours (Å) after each atom.
Positions (direct):
C  0.3344  0.0000  0.0000  1 C 1.36
C  0.4617  0.0000  0.0000  1 C 1.36
C  0.7831  0.0000  0.0000  2 Re 2.06
C  0.2169  0.2169  0.0000  2 Re 2.06
C  0.0000  0.3344  0.0000  1 C 1.36
C  0.0000  0.4617  0.0000  1 C 1.36
C  0.5383  0.5383  0.0000  1 C 1.36
C  0.6656  0.6656  0.0000  1 C 1.36
C  0.0000  0.7831  0.0000  2 Re 2.06
C  0.7232  0.1890  0.5000  1 Re 1.91
C  0.4658  0.2768  0.5000  1 Re 1.91
C  0.2768  0.4658  0.5000  1 Re 1.91
C  0.8110  0.5342  0.5000  1 Re 1.91
C  0.1890  0.7232  0.5000  1 Re 1.91
C  0.5342  0.8110  0.5000  1 Re 1.91
Er  0.7300  0.1858  0.0000  5 C 2.32-2.54
Er  0.4559  0.2700  0.0000  5 C 2.32-2.54
Er  0.2700  0.4559  0.0000  5 C 2.32-2.54
Er  0.8142  0.5441  0.0000  5 C 2.32-2.54
Er  0.1858  0.7300  0.0000  5 C 2.32-2.54
Er  0.5441  0.8142  0.0000  5 C 2.32-2.54
Er  0.4265  0.0000  0.5000  8 C 2.54-2.77
Er  0.7950  0.0000  0.5000  4 C 2.49-2.51
Er  0.2050  0.2050  0.5000  4 C 2.49-2.51
Er  0.0000  0.4265  0.5000  8 C 2.54-2.77
Er  0.5735  0.5735  0.5000  8 C 2.54-2.77
Er  0.0000  0.7950  0.5000  4 C 2.49-2.51
Re  0.1523  0.0000  0.0000  3 C 1.94-2.06
Re  0.0000  0.1523  0.0000  3 C 1.94-2.06
Re  0.8477  0.8477  0.0000  3 C 1.94-2.06
Re  0.6667  0.3333  0.5000  3 C 1.91
Re  0.3333  0.6667  0.5000  3 C 1.91



Entry 12:
The following is a PBE calculation of crystalline ErScCS at its relaxed geometry, from OQMD.

Symmetry: P-3m1 (164)
Density in g/cm3: 6.3
E above lowest polymorph in meV per atom: 5

abc: 3.5604 3.5604 12.3569
angles: 90.00 90.00 120.00
With the nearest neighbours (Å) after each atom.
Positions (direct):
C  0.0000  0.0000  0.0000  6 Er 2.45
C  0.0000  0.0000  0.5000  6 Sc 2.38
Er  0.6667  0.3333  0.1086  3 C 2.45
Er  0.3333  0.6667  0.8914  3 C 2.45
S  0.3333  0.6667  0.2621  3 Sc 2.69, 3 Er 2.80
S  0.6667  0.3333  0.7379  3 Sc 2.69, 3 Er 2.80
Sc  0.6667  0.3333  0.4023  3 C 2.38
Sc  0.3333  0.6667  0.5977  3 C 2.38